Material: GaH
Method: DFT, GGA-PBE
State: optimized geometry

Properties
Calculated total energy, eV for the cell shown: -17.5

The structure in CIF format:
```
data_GaH
_cell_length_a 4.9050
_cell_length_b 4.9050
_cell_length_c 3.6212
_cell_angle_alpha 90.00
_cell_angle_beta 90.00
_cell_angle_gamma 118.29
_space_group_name_H-M_alt 'P 1'
_space_group_IT_number 1
_space_group_name_Hall 'P 1'
loop_
_atom_site_label
_atom_site_fract_x
_atom_site_fract_y
_atom_site_fract_z
_atom_site_occupancy
Ga1 0.0000 0.0000 0.0000 1
Ga2 0.2921 0.7079 0.5000 1
Ga3 0.7079 0.2921 0.5000 1
H1 0.2942 0.7058 0.0000 1
H2 0.5000 0.5000 0.5000 1
H3 0.7058 0.2942 0.0000 1
```